Record 1
First-principles (GGA-PBE) data for a geometry-optimized CuSnOsPd structure, as listed in OQMD.

Summary:
Its total energy is -5.81 eV per atom. Its volume is 62.9 Å³/f.u. The calculation puts the energy above the most stable polymorph in this dataset at 0.0000 eV per atom.

Unit cell a=4.4642 b=4.4642 c=4.4642 alpha=60.00 beta=60.00 gamma=60.00
Closest atoms and distances in Å follow each position.
Fractional coordinates of all 4 atoms:
1 Os 0.2500 0.2500 0.2500  4 Sn 2.73, 4 Pd 2.73
2 Cu 0.7500 0.7500 0.7500  4 Sn 2.73, 4 Pd 2.73
3 Pd 0.5000 0.5000 0.5000  4 Os 2.73, 4 Cu 2.73
4 Sn 0.0000 0.0000 0.0000  4 Cu 2.73, 4 Os 2.73


Record 2
First-principles (GGA-PBE) data for a geometry-optimized NbCuIr structure, as listed in OQMD.

Summary:
For the formation enthalpy at 0 K, the calculation gives 0.340 eV/f.u. Its total energy is -7.44 eV per atom. Its volume is 53.8 Å³/f.u. The calculation puts the energy above the most stable polymorph in this dataset at 0.0000 eV per atom.

Unit cell a=4.2368 b=4.2368 c=4.2368 alpha=60.00 beta=60.00 gamma=60.00
Closest atoms and distances in Å follow each position.
Fractional coordinates of all 3 atoms:
1 Cu 0.2500 0.2500 0.2500  4 Ir 2.59
2 Nb 0.7500 0.7500 0.7500  4 Ir 2.59
3 Ir 0.0000 0.0000 0.0000  4 Nb 2.59, 4 Cu 2.59


Record 3
First-principles (GGA-PBE) data for a geometry-optimized SmTlGa structure, as listed in OQMD.

Summary:
Its total energy is -3.64 eV per atom. Its volume is 81.2 Å³/f.u. The calculation puts the energy above the most stable polymorph in this dataset at 0.0000 eV per atom.

Unit cell a=4.8613 b=4.8613 c=4.8613 alpha=60.00 beta=60.00 gamma=60.00
Closest atoms and distances in Å follow each position.
Fractional coordinates of all 3 atoms:
1 Sm 0.2500 0.2500 0.2500  4 Ga 2.98
2 Tl 0.7500 0.7500 0.7500  4 Ga 2.98
3 Ga 0.0000 0.0000 0.0000  4 Tl 2.98, 4 Sm 2.98


Question: volume of number 1 (CuSnOsPd)?
Answer: 62.9 Å³/f.u.


Question: Which of these has the lowest volume?
Answer: NbCuIr